1.
Entry from Alexandria: BeFe2Mo after structural relaxation (PBE).

Properties
Raw total energy = -7.64 eV per atom
Energy of formation = 0.2276 eV per atom

a = 2.5980 Å, b = 2.5980 Å, c = 24.6031 Å
α = 90.00°, β = 90.00°, γ = 120.00°
Space group R-3m (No. 166, hexagonal axes)
Asymmetric unit:
Be (0.0000, 0.0000, 0.0000) (multiplicity 3)
Fe (0.0000, 0.0000, 0.2593) (multiplicity 6)
Mo (0.0000, 0.0000, 0.5000) (multiplicity 3)

=====

2.
Entry from Alexandria: Be2FeMo after structural relaxation (PBE).

Properties
Raw total energy = -6.53 eV per atom
ΔE to the lowest computed polymorph = 253 meV/atom
Energy of formation = 0.1530 eV per atom

a = 2.8294 Å, b = 4.0462 Å, c = 7.7804 Å
α = 90.00°, β = 90.00°, γ = 90.00°
Space group Immm (No. 71)
Asymmetric unit:
Be (0.0000, 0.0000, 0.2346) (multiplicity 4)
Fe (0.0000, 0.5000, 0.5000) (multiplicity 2)
Mo (0.0000, 0.5000, 0.0000) (multiplicity 2)

=====

3.
Entry from Alexandria: BeFeMo2 after structural relaxation (PBE).

Properties
Raw total energy = -8.36 eV per atom
Energy of formation = 0.1060 eV per atom

a = 3.2871 Å, b = 4.0700 Å, c = 7.8591 Å
α = 90.00°, β = 90.00°, γ = 90.00°
Space group Cmmm (No. 65)
Asymmetric unit:
Be (0.0000, 0.0000, 0.0000) (multiplicity 2)
Fe (0.0000, 0.0000, 0.5000) (multiplicity 2)
Mo (0.0000, 0.5000, 0.2341) (multiplicity 4)

=====

4.
Entry from Alexandria: BeFe2Mo after structural relaxation (PBE).

Properties
Raw total energy = -7.78 eV per atom
Energy of formation = 0.0871 eV per atom

a = 2.5356 Å, b = 4.0046 Å, c = 4.7702 Å
α = 90.00°, β = 101.36°, γ = 90.00°
Space group Pm (No. 6)
Asymmetric unit:
Be (0.0000, 0.0000, 0.0000) (multiplicity 1)
Fe (0.6107, 0.0000, 0.4640) (multiplicity 1)
Fe (0.8359, 0.5000, 0.2260) (multiplicity 1)
Mo (0.3423, 0.5000, 0.7361) (multiplicity 1)

=====

5.
Entry from Alexandria: Be2FeMo after structural relaxation (PBE).

Properties
Raw total energy = -6.67 eV per atom
ΔE to the lowest computed polymorph = 118 meV/atom
Energy of formation = 0.0181 eV per atom

a = 2.6116 Å, b = 2.6116 Å, c = 6.2851 Å
α = 90.00°, β = 90.00°, γ = 90.00°
Space group P4mm (No. 99)
Asymmetric unit:
Be (0.0000, 0.0000, 0.0000) (multiplicity 1)
Be (0.5000, 0.5000, 0.1876) (multiplicity 1)
Fe (0.0000, 0.0000, 0.4020) (multiplicity 1)
Mo (0.5000, 0.5000, 0.7187) (multiplicity 1)

=====

6.
Entry from Alexandria: Be2FeMo after structural relaxation (PBE).

Properties
Raw total energy = -6.57 eV per atom
ΔE to the lowest computed polymorph = 216 meV/atom
Energy of formation = 0.1157 eV per atom

a = 5.5069 Å, b = 5.5069 Å, c = 5.5069 Å
α = 90.00°, β = 90.00°, γ = 90.00°
Space group Fm-3m (No. 225)
Asymmetric unit:
Be (0.2500, 0.2500, 0.2500) (multiplicity 8)
Fe (0.0000, 0.0000, 0.0000) (multiplicity 4)
Mo (0.0000, 0.0000, 0.5000) (multiplicity 4)

=====

7.
Entry from Alexandria: BeFe6Mo after structural relaxation (PBE).

Properties
Raw total energy = -8.13 eV per atom
Energy of formation = 0.0344 eV per atom

a = 5.9529 Å, b = 11.1705 Å, c = 11.0199 Å
α = 90.00°, β = 90.00°, γ = 90.00°
Space group Cmmm (No. 65)
Asymmetric unit:
Be (0.0000, 0.0000, 0.2379) (multiplicity 4)
Be (0.0000, 0.2540, 0.0000) (multiplicity 4)
Fe (0.0000, 0.0000, 0.0000) (multiplicity 2)
Fe (0.0000, 0.0000, 0.5000) (multiplicity 2)
Fe (0.0000, 0.2480, 0.2418) (multiplicity 8)
Fe (0.0000, 0.5000, 0.0000) (multiplicity 2)
Fe (0.0000, 0.5000, 0.5000) (multiplicity 2)
Fe (0.2404, 0.1221, 0.3691) (multiplicity 16)
Fe (0.2440, 0.1289, 0.1168) (multiplicity 16)
Mo (0.0000, 0.2566, 0.5000) (multiplicity 4)
Mo (0.0000, 0.5000, 0.2431) (multiplicity 4)

=====

8.
Entry from Alexandria: BeFeMo2 after structural relaxation (PBE).

Properties
Raw total energy = -8.35 eV per atom
Energy of formation = 0.1165 eV per atom

a = 3.5932 Å, b = 3.8004 Å, c = 3.8121 Å
α = 90.00°, β = 90.00°, γ = 90.00°
Space group Pmmm (No. 47)
Asymmetric unit:
Be (0.0000, 0.0000, 0.0000) (multiplicity 1)
Fe (0.0000, 0.5000, 0.5000) (multiplicity 1)
Mo (0.5000, 0.0000, 0.5000) (multiplicity 1)
Mo (0.5000, 0.5000, 0.0000) (multiplicity 1)